Entry 1:
# La3Ce2ErBi6

An optimized crystal structure of La3Ce2ErBi6 (PBE, the Alexandria database). Values from VASP.

Quantum ESPRESSO input file:
```
&SYSTEM
  ibrav = 0, nat = 12, ntyp = 4
/
ATOMIC_SPECIES
La 138.91 La.upf
Ce 140.12 Ce.upf
Er 167.26 Er.upf
Bi 208.98 Bi.upf
CELL_PARAMETERS angstrom
4.0082 -6.9431 0.0000
4.0082 6.9431 0.0000
-2.6749 0.0000 7.5690
ATOMIC_POSITIONS crystal
La 0.0000 0.0000 0.0000
La 0.3317 0.6683 0.0000
La 0.6683 0.3317 0.0000
Ce 0.1662 0.8338 0.5000
Ce 0.8338 0.1662 0.5000
Er 0.5000 0.5000 0.5000
Bi 0.0909 0.4203 0.2602
Bi 0.2516 0.2516 0.7419
Bi 0.4203 0.0909 0.2602
Bi 0.5797 0.9091 0.7398
Bi 0.7484 0.7484 0.2581
Bi 0.9091 0.5797 0.7398
```

## Properties
- Energy relative to the elements: -11.10 eV per formula unit
- Magnetization: 1.62 μB/cell
- Final energy: -5.47 eV per atom

Entry 2:
# Tl2HgBr

An optimized crystal structure of Tl2HgBr (PBE, the Alexandria database). Values from VASP.

Quantum ESPRESSO input file:
```
&SYSTEM
  ibrav = 0, nat = 4, ntyp = 3
/
ATOMIC_SPECIES
Tl 204.38 Tl.upf
Hg 200.59 Hg.upf
Br 79.90 Br.upf
CELL_PARAMETERS angstrom
4.1764 0.0000 0.0000
0.0000 4.1764 0.0000
0.0000 0.0000 7.1841
ATOMIC_POSITIONS crystal
Tl 0.0000 0.0000 0.2500
Tl 0.0000 0.0000 0.7500
Hg 0.5000 0.5000 0.0000
Br 0.5000 0.5000 0.5000
```

## Properties
- Formation energy (no corrections): -1.32 eV/f.u.
- Magnetization: 0.00 μB/cell
- Final energy: -2.01 eV per atom